Entry 1:
MnPRuS: relaxed, PBE.

```
MnPRuS
1.0
5.5106 0.0000 0.0017
0.0000 2.9659 0.0000
-0.0605 0.0000 6.7413
P S Mn Ru
2 2 2 2
Cartesian
3.9285 0.0000 4.5257
3.9588 1.4829 1.1551
1.4013 0.0000 6.6716
1.4316 1.4829 3.3010
2.3602 1.4829 5.2695
2.3904 0.0000 1.8989
5.0943 1.4829 5.9763
5.1246 0.0000 2.6057
```

Values from the calculation:
The calculation puts the formation energy from raw total energies at -118.3 kJ/mol of formula units. The energy above the lowest structure with this stoichiometry comes out at 0.100 eV/atom. As for the crystal system: monoclinic.

Entry 2:
MnPRuS: relaxed, PBE.

```
MnPRuS
1.0
-3.7947 -1.0726 -1.2488
-0.0237 -2.1933 1.9561
0.0219 3.3981 3.8106
Ru S Mn P
1 1 1 1
Cartesian
-1.4984 2.9022 3.2361
-0.1253 0.6769 0.7575
-1.4628 0.1383 2.3452
-3.7585 0.1543 2.3353
```

Values from the calculation:
The calculation puts the formation energy from raw total energies at -98.4 kJ/mol of formula units. The energy above the lowest structure with this stoichiometry comes out at 0.152 eV/atom. As for the crystal system: monoclinic.

Entry 3:
MnPRuS: relaxed, PBE.

```
MnPRuS
1.0
5.7130 0.0000 0.0078
0.0000 3.5375 0.0000
-0.0006 0.0000 6.1353
Ru S P Mn
2 2 2 2
Cartesian
5.2464 1.7688 4.5891
5.2467 0.0000 1.5214
1.3188 1.7688 2.5355
1.3185 0.0000 5.6032
4.2538 0.0000 3.5648
4.2541 1.7688 0.4971
2.6423 1.7688 4.5779
2.6426 0.0000 1.5102
```

Values from the calculation:
The calculation puts the formation energy from raw total energies at -148.7 kJ/mol of formula units. The energy above the lowest structure with this stoichiometry comes out at 0.022 eV/atom. As for the crystal system: monoclinic.

Q: Look up the energy above the lowest structure with this stoichiometry of the third one.
A: 0.022 eV/atom

Please write out number 3 again, unchanged.
MnPRuS: relaxed, PBE.

```
MnPRuS
1.0
5.7130 0.0000 0.0078
0.0000 3.5375 0.0000
-0.0006 0.0000 6.1353
Ru S P Mn
2 2 2 2
Cartesian
5.2464 1.7688 4.5891
5.2467 0.0000 1.5214
1.3188 1.7688 2.5355
1.3185 0.0000 5.6032
4.2538 0.0000 3.5648
4.2541 1.7688 0.4971
2.6423 1.7688 4.5779
2.6426 0.0000 1.5102
```

Values from the calculation:
The calculation puts the formation energy from raw total energies at -148.7 kJ/mol of formula units. The energy above the lowest structure with this stoichiometry comes out at 0.022 eV/atom. As for the crystal system: monoclinic.

Repeat the first record exactly.
MnPRuS: relaxed, PBE.

```
MnPRuS
1.0
5.5106 0.0000 0.0017
0.0000 2.9659 0.0000
-0.0605 0.0000 6.7413
P S Mn Ru
2 2 2 2
Cartesian
3.9285 0.0000 4.5257
3.9588 1.4829 1.1551
1.4013 0.0000 6.6716
1.4316 1.4829 3.3010
2.3602 1.4829 5.2695
2.3904 0.0000 1.8989
5.0943 1.4829 5.9763
5.1246 0.0000 2.6057
```

Values from the calculation:
The calculation puts the formation energy from raw total energies at -118.3 kJ/mol of formula units. The energy above the lowest structure with this stoichiometry comes out at 0.100 eV/atom. As for the crystal system: monoclinic.

Q: The lowest energy above the lowest structure with this stoichiometry belongs to which entry?
A: number 3